Compound: KPm2PdO5
Source: Alexandria
Functional: PBE
Structure: relaxed

Output
* DOS(E_F): 10.2 states/eV/cell
* raw formation energy: -2.10 eV/atom

a = 6.7638 Å, b = 6.7638 Å, c = 7.7170 Å
α = 115.99°, β = 115.99°, γ = 90.00°
With the nearest neighbours (Å) after each atom.
Fractional coordinates of all 18 atoms:
O: 0.2499 0.7499 0.2366  1 Pd 2.03
Pm: 0.8252 0.6748 0.0000  8 O 2.34-2.54
O: 0.0000 0.0000 0.0000  4 Pm 2.50
Pd: 0.7500 0.2500 0.5000  4 O 2.03
Pm: 0.1748 0.3252 0.0000  8 O 2.34-2.54
Pd: 0.2500 0.7500 0.5000  4 O 2.03
O: 0.7499 0.9867 0.2366  1 Pd 2.03
O: 0.0133 0.5133 0.7634  1 Pd 2.03
O: 0.5000 0.5000 0.0000  4 Pm 2.50
Pm: 0.3252 0.8252 0.0000  8 O 2.34-2.54
O: 0.7501 0.2501 0.7634  1 Pd 2.03
O: 0.9867 0.4867 0.2366  1 Pd 2.03
O: 0.5133 0.7501 0.7634  1 Pd 2.03
K: 0.2500 0.2500 0.5000  10 O 3.03-3.09, 4 Pd 3.38
O: 0.4867 0.2499 0.2366  1 Pd 2.03
O: 0.2501 0.0133 0.7634  1 Pd 2.03
K: 0.7500 0.7500 0.5000  10 O 3.03-3.09, 4 Pd 3.38
Pm: 0.6748 0.1748 0.0000  8 O 2.34-2.54



Compound: KPmPdO3
Source: Alexandria
Functional: PBE
Structure: relaxed

Output
* raw formation energy: -1.94 eV/atom

a = 3.9641 Å, b = 6.9369 Å, c = 7.5525 Å
α = 104.12°, β = 90.00°, γ = 106.60°
With the nearest neighbours (Å) after each atom.
Fractional coordinates of all 12 atoms:
Pd: 0.0070 0.0140 0.2749  4 O 2.00-2.10
Pm: 0.3503 0.7006 0.4223  7 O 2.33-2.59
O: 0.1699 0.3398 0.3683  1 Pd 2.10, 1 Pm 2.33
O: 0.8301 0.6602 0.6317  1 Pd 2.10, 1 Pm 2.33
K: 0.6440 0.2880 0.0651  6 O 2.66-2.98
O: 0.8472 0.6944 0.2250  1 Pd 2.06
O: 0.5069 0.0138 0.3138  2 Pd 2.00
O: 0.4931 0.9862 0.6862  2 Pd 2.00
K: 0.3560 0.7120 0.9349  6 O 2.66-2.98
O: 0.1528 0.3056 0.7750  1 Pd 2.06
Pd: 0.9930 0.9860 0.7251  4 O 2.00-2.10
Pm: 0.6497 0.2994 0.5777  7 O 2.33-2.59



Compound: K2PmPdO4
Source: Alexandria
Functional: PBE
Structure: relaxed

Output
* DOS(E_F): 0.0 states/eV/cell
* raw formation energy: -1.63 eV/atom

a = 3.3993 Å, b = 6.0063 Å, c = 6.7196 Å
α = 110.04°, β = 90.00°, γ = 90.00°
With the nearest neighbours (Å) after each atom.
Fractional coordinates of all 8 atoms:
O: 0.5000 0.1970 0.1687  2 Pd 2.16
K: 0.5000 0.0000 0.5000  6 O 2.68-2.86
K: 0.0000 0.5000 0.5000  6 O 2.62-2.90
O: 0.0000 0.7134 0.2193  2 Pm 2.33
O: 0.5000 0.8030 0.8313  2 Pd 2.16
Pd: 0.0000 0.0000 0.0000  4 O 2.16
O: 0.0000 0.2866 0.7807  2 Pm 2.33
Pm: 0.5000 0.5000 0.0000  6 O 2.33-2.45